This record from Alexandria via LeMat-Bulk describes a geometry-optimized Y3HgW structure. The functional is GGA-PBE.

Results
The mass density is 6.4 g cm⁻³. For the energy relative to the lowest polymorph listed for this composition, the calculation gives 676 meV/atom. Its volume is 33.767 A^3/atom. The calculation puts the spin magnetization at 3.44 Bohr magnetons per cell.

a b c (Å): 5.527 5.527 5.527
angles (deg): 90.00 90.00 90.00
Atoms (fractional coordinates):
Y 0.000 0.500 0.000
Y 0.000 0.000 0.500
Y 0.500 0.000 0.000
Hg 0.000 0.000 0.000
W 0.500 0.500 0.500